(1)
# HfSc2Cu | Alexandria via LeMat-Bulk | PBE | relaxed
# Formation energy   1.153 eV per formula unit
# Total magnetization   0.03 μB/cell
data_HfSc2Cu
_symmetry_space_group_name_H-M 'R -3 m'
_symmetry_Int_Tables_number 166
_symmetry_space_group_name_Hall '-R 3 2"'
_cell_length_a 3.0701
_cell_length_b 3.0701
_cell_length_c 31.0718
_cell_angle_alpha 90.00
_cell_angle_beta 90.00
_cell_angle_gamma 120.00
loop_
_atom_site_label
_atom_site_type_symbol
_atom_site_fract_x
_atom_site_fract_y
_atom_site_fract_z
_atom_site_occupancy
Hf1 Hf 0.0000 0.0000 0.0000 1
Sc1 Sc 0.0000 0.0000 0.0977 1
Cu1 Cu 0.0000 0.0000 0.5000 1

(2)
# HfSc2Cu | Alexandria via LeMat-Bulk | PBE | relaxed
# Formation energy   0.159 eV per formula unit
# Total magnetization   0.00 μB/cell
data_HfSc2Cu
_symmetry_space_group_name_H-M 'R 3 m'
_symmetry_Int_Tables_number 160
_symmetry_space_group_name_Hall 'R 3 -2"'
_cell_length_a 3.2744
_cell_length_b 3.2744
_cell_length_c 27.2611
_cell_angle_alpha 90.00
_cell_angle_beta 90.00
_cell_angle_gamma 120.00
loop_
_atom_site_label
_atom_site_type_symbol
_atom_site_fract_x
_atom_site_fract_y
_atom_site_fract_z
_atom_site_occupancy
Hf1 Hf 0.0000 0.0000 0.0000 1
Sc1 Sc 0.0000 0.0000 0.5736 1
Sc2 Sc 0.0000 0.0000 0.7585 1
Cu1 Cu 0.0000 0.0000 0.1654 1

(3)
# HfScCu | Alexandria via LeMat-Bulk | PBE | relaxed
# Formation energy   -0.327 eV per formula unit
# Total magnetization   0.00 μB/cell
data_HfScCu
_symmetry_space_group_name_H-M 'P n m a'
_symmetry_Int_Tables_number 62
_symmetry_space_group_name_Hall '-P 2ac 2n'
_cell_length_a 6.383
_cell_length_b 4.525
_cell_length_c 8.022
_cell_angle_alpha 90.00
_cell_angle_beta 90.00
_cell_angle_gamma 90.00
loop_
_atom_site_label
_atom_site_type_symbol
_atom_site_fract_x
_atom_site_fract_y
_atom_site_fract_z
_atom_site_occupancy
Hf1 Hf 0.158 0.250 0.075 1
Sc1 Sc 0.018 0.250 0.689 1
Cu1 Cu 0.247 0.250 0.399 1

The calculation returns the following energy relative to the lowest polymorph listed for this composition values, one per record and in order: 0.393 0.144 0.009 eV per atom.